No. 1
DFT (PBE) results for a geometry-optimized La3ZnAg2 structure.

Output
density of states at the Fermi level	6.328	states/eV/f.u.
final energy	-3.8959	eV per atom

```
data_La3ZnAg2
_chemical_formula_sum 'La6 Zn2 Ag4'
_symmetry_space_group_name_H-M 'P -3 m 1'
_symmetry_Int_Tables_number 164
_symmetry_space_group_name_Hall '-P 3 2"'
_cell_length_a 5.3853
_cell_length_b 5.3853
_cell_length_c 13.2079
_cell_angle_alpha 90.00
_cell_angle_beta 90.00
_cell_angle_gamma 120.00
loop_
_atom_site_label
_atom_site_type_symbol
_atom_site_fract_x
_atom_site_fract_y
_atom_site_fract_z
_atom_site_occupancy
La1 La 0.0000 0.0000 0.2475 1
La2 La 0.3333 0.6667 0.4148 1
La3 La 0.3333 0.6667 0.9178 1
Zn1 Zn 0.3333 0.6667 0.1671 1
Ag1 Ag 0.0000 0.0000 0.0000 1
Ag2 Ag 0.0000 0.0000 0.5000 1
Ag3 Ag 0.3333 0.6667 0.6705 1
```

---

No. 2
DFT (PBE) results for a geometry-optimized CaGaBIr2 structure.

Output
density of states at the Fermi level	3.129	states/eV/f.u.
final energy	-6.3769	eV per atom

```
data_CaGaBIr2
_chemical_formula_sum 'Ca4 Ga4 B4 Ir8'
_symmetry_space_group_name_H-M 'C m c m'
_symmetry_Int_Tables_number 63
_symmetry_space_group_name_Hall '-C 2c 2'
_cell_length_a 4.121
_cell_length_b 11.126
_cell_length_c 7.393
_cell_angle_alpha 90.00
_cell_angle_beta 90.00
_cell_angle_gamma 90.00
loop_
_atom_site_label
_atom_site_type_symbol
_atom_site_fract_x
_atom_site_fract_y
_atom_site_fract_z
_atom_site_occupancy
Ca1 Ca 0.000 0.046 0.250 1
Ga1 Ga 0.000 0.231 0.750 1
B1 B 0.000 0.500 0.000 1
Ir1 Ir 0.000 0.332 0.060 1
```

---

No. 3
DFT (PBE) results for a geometry-optimized Pm2Tm5Th4 structure.

Output
polymorph energy (0 for the lowest one)	0.793	kcal/mol of atoms
density of states at the Fermi level	15.618	states/eV/f.u.

```
data_Pm2Tm5Th4
_chemical_formula_sum 'Pm4 Tm10 Th8'
_symmetry_space_group_name_H-M 'C 1 2/m 1'
_symmetry_Int_Tables_number 12
_symmetry_space_group_name_Hall '-C 2y'
_cell_length_a 16.702
_cell_length_b 6.654
_cell_length_c 6.562
_cell_angle_alpha 90.00
_cell_angle_beta 99.97
_cell_angle_gamma 90.00
loop_
_atom_site_label
_atom_site_type_symbol
_atom_site_fract_x
_atom_site_fract_y
_atom_site_fract_z
_atom_site_occupancy
Pm1 Pm 0.196 0.000 0.325 1
Tm1 Tm 0.000 0.000 0.500 1
Tm2 Tm 0.085 0.260 0.903 1
Th1 Th 0.091 0.500 0.408 1
Th2 Th 0.248 0.000 0.842 1
```

---

No. 4
DFT (PBE) results for a geometry-optimized SrY2Ga6 structure.

Output
polymorph energy (0 for the lowest one)	1.969	kcal/mol of atoms
density of states at the Fermi level	2.289	states/eV/f.u.

```
data_SrY2Ga6
_chemical_formula_sum 'Sr2 Y4 Ga12'
_symmetry_space_group_name_H-M 'I m m m'
_symmetry_Int_Tables_number 71
_symmetry_space_group_name_Hall '-I 2 2'
_cell_length_a 4.461
_cell_length_b 7.344
_cell_length_c 13.024
_cell_angle_alpha 90.00
_cell_angle_beta 90.00
_cell_angle_gamma 90.00
loop_
_atom_site_label
_atom_site_type_symbol
_atom_site_fract_x
_atom_site_fract_y
_atom_site_fract_z
_atom_site_occupancy
Sr1 Sr 0.000 0.000 0.000 1
Y1 Y 0.000 0.500 0.126 1
Ga1 Ga 0.000 0.175 0.500 1
Ga2 Ga 0.000 0.302 0.314 1
```

---

Calculated density across the listed records, respectively: 6.99 9.90 9.54 5.32 g/cm3.